MgTa2Ga | PBE | relaxed

Summary:
Its calculated volume is 18.95 Å³/atom. The energy of formation is 564 meV/atom.

CIF file:
```
data_MgTa2Ga
_chemical_formula_sum 'Mg4 Ta8 Ga4'
_cell_length_a 7.4212
_cell_length_b 7.4212
_cell_length_c 5.5066
_cell_angle_alpha 90.00
_cell_angle_beta 90.00
_cell_angle_gamma 90.00
_space_group_name_H-M_alt 'I -4 2 d'
_space_group_IT_number 122
_space_group_name_Hall 'I -4 2bw'
loop_
_atom_site_label
_atom_site_type_symbol
_atom_site_fract_x
_atom_site_fract_y
_atom_site_fract_z
_atom_site_occupancy
Mg1 Mg 0.0000 0.0000 0.0000 1
Ta1 Ta 0.2311 0.2500 0.6250 1
Ga1 Ga 0.0000 0.0000 0.5000 1
```